# CoTcNi2N, optimized geometry, DFT PBE
# Energy above the most stable polymorph in this dataset ... 177 meV/atom
# ρ ... 8.73 g/cm3
# Electronic total energy ... -7.143 eV per atom
data_CoTcNi2N
_space_group_name_H-M_alt 'P 4/m m m'
_space_group_IT_number 123
_space_group_name_Hall '-P 4 2'
_cell_length_a 3.825
_cell_length_b 3.825
_cell_length_c 3.749
_cell_angle_alpha 90.00
_cell_angle_beta 90.00
_cell_angle_gamma 90.00
loop_
_atom_site_label
_atom_site_fract_x
_atom_site_fract_y
_atom_site_fract_z
Co1 0.000 0.000 0.000
Tc1 0.500 0.500 0.000
Ni1 0.000 0.500 0.500
N1 0.000 0.000 0.500


# YHoMgRu, optimized geometry, DFT PBE
# Energy above the most stable polymorph in this dataset ... 93 meV/atom
# E_form ... -0.20 eV/atom
# ρ ... 7.05 g/cm3
# Electronic total energy ... -5.679 eV per atom
data_YHoMgRu
_space_group_name_H-M_alt 'F -4 3 m'
_space_group_IT_number 216
_space_group_name_Hall 'F -4 2 3'
_cell_length_a 7.097
_cell_length_b 7.097
_cell_length_c 7.097
_cell_angle_alpha 90.00
_cell_angle_beta 90.00
_cell_angle_gamma 90.00
loop_
_atom_site_label
_atom_site_fract_x
_atom_site_fract_y
_atom_site_fract_z
Y1 0.000 0.000 0.000
Ho1 0.000 0.000 0.500
Mg1 0.250 0.250 0.250
Ru1 0.250 0.250 0.750


# ZnCu2Te, optimized geometry, DFT PBE
# Energy above the most stable polymorph in this dataset ... 21 meV/atom
# ρ ... 7.69 g/cm3
# Electronic total energy ... -3.046 eV per atom
data_ZnCu2Te
_space_group_name_H-M_alt 'P 1 m 1'
_space_group_IT_number 6
_cell_length_a 3.724
_cell_length_b 3.874
_cell_length_c 5.125
_cell_angle_alpha 90.00
_cell_angle_beta 110.78
_cell_angle_gamma 90.00
loop_
_space_group_symop_operation_xyz
'x,y,z'
'x,-y,z'
loop_
_atom_site_label
_atom_site_fract_x
_atom_site_fract_y
_atom_site_fract_z
Zn1 0.000 0.000 0.000
Cu1 0.548 0.500 0.098
Cu2 0.711 0.000 0.429
Te1 0.270 0.500 0.554


# NdTlHgAu, optimized geometry, DFT PBE
# E_form ... -0.45 eV/atom
# ρ ... 12.47 g/cm3
# Electronic total energy ... -3.132 eV per atom
data_NdTlHgAu
_space_group_name_H-M_alt 'F -4 3 m'
_space_group_IT_number 216
_space_group_name_Hall 'F -4 2 3'
_cell_length_a 7.353
_cell_length_b 7.353
_cell_length_c 7.353
_cell_angle_alpha 90.00
_cell_angle_beta 90.00
_cell_angle_gamma 90.00
loop_
_atom_site_label
_atom_site_fract_x
_atom_site_fract_y
_atom_site_fract_z
Nd1 0.000 0.000 0.000
Tl1 0.000 0.000 0.500
Hg1 0.250 0.250 0.250
Au1 0.250 0.250 0.750


# TaZn2Si2, optimized geometry, DFT PBE
# Energy above the most stable polymorph in this dataset ... 361 meV/atom
# ρ ... 7.48 g/cm3
# Electronic total energy ... -4.552 eV per atom
data_TaZn2Si2
_space_group_name_H-M_alt 'I 4/m m m'
_space_group_IT_number 139
_space_group_name_Hall '-I 4 2'
_cell_length_a 3.427
_cell_length_b 3.427
_cell_length_c 13.911
_cell_angle_alpha 90.00
_cell_angle_beta 90.00
_cell_angle_gamma 90.00
loop_
_atom_site_label
_atom_site_fract_x
_atom_site_fract_y
_atom_site_fract_z
Ta1 0.000 0.000 0.000
Zn1 0.000 0.000 0.400
Si1 0.000 0.500 0.250


# RuS2I, optimized geometry, DFT PBE
# Energy above the most stable polymorph in this dataset ... 202 meV/atom
# ρ ... 4.67 g/cm3
# Electronic total energy ... -4.660 eV per atom
data_RuS2I
_space_group_name_H-M_alt 'I -4 2 d'
_space_group_IT_number 122
_space_group_name_Hall 'I -4 2bw'
_cell_length_a 6.602
_cell_length_b 6.602
_cell_length_c 9.531
_cell_angle_alpha 90.00
_cell_angle_beta 90.00
_cell_angle_gamma 90.00
loop_
_atom_site_label
_atom_site_fract_x
_atom_site_fract_y
_atom_site_fract_z
Ru1 0.000 0.000 0.000
S1 0.131 0.250 0.125
I1 0.000 0.000 0.500


# Pr3Er2Tm3, optimized geometry, DFT PBE
# Energy above the most stable polymorph in this dataset ... 0 meV/atom
# E_form ... 0.13 eV/atom
# ρ ... 8.06 g/cm3
# Electronic total energy ... -4.482 eV per atom
data_Pr3Er2Tm3
_space_group_name_H-M_alt 'C 1 2/m 1'
_space_group_IT_number 12
_cell_length_a 16.019
_cell_length_b 5.907
_cell_length_c 5.919
_cell_angle_alpha 90.00
_cell_angle_beta 111.63
_cell_angle_gamma 90.00
loop_
_space_group_symop_operation_xyz
'x,y,z'
'-x,-y,-z'
'-x,y,-z'
'x,-y,z'
'x+1/2,y+1/2,z'
'-x+1/2,-y+1/2,-z'
'-x+1/2,y+1/2,-z'
'x+1/2,-y+1/2,z'
loop_
_atom_site_label
_atom_site_fract_x
_atom_site_fract_y
_atom_site_fract_z
Pr1 0.000 0.000 0.000
Pr2 0.133 0.000 0.634
Er1 0.247 0.500 0.747
Tm1 0.000 0.500 0.500
Tm2 0.125 0.500 0.125


# FeTcIr, optimized geometry, DFT PBE
# Energy above the most stable polymorph in this dataset ... 277 meV/atom
# E_form ... 0.21 eV/atom
# ρ ... 13.63 g/cm3
# Electronic total energy ... -9.023 eV per atom
data_FeTcIr
_space_group_name_H-M_alt 'F m m 2'
_space_group_IT_number 42
_space_group_name_Hall 'F 2 -2'
_cell_length_a 2.790
_cell_length_b 4.542
_cell_length_c 13.306
_cell_angle_alpha 90.00
_cell_angle_beta 90.00
_cell_angle_gamma 90.00
loop_
_atom_site_label
_atom_site_fract_x
_atom_site_fract_y
_atom_site_fract_z
Fe1 0.000 0.000 0.000
Tc1 0.000 0.000 0.339
Ir1 0.000 0.000 0.664